1.
# Dy2Br2N | Alexandria | PBE | optimized geometry
# **Calculated total energy**: -5.904 eV/atom
# **Space-group type**: R-3m
# **Mass density**: 6659 kg/m3
data_Dy2Br2N
_chemical_formula_sum 'Dy2 Br2 N1'
_space_group_name_H-M_alt 'P 1'
_space_group_IT_number 1
_space_group_name_Hall 'P 1'
_cell_length_a 3.6662
_cell_length_b 3.6662
_cell_length_c 10.8939
_cell_angle_alpha 80.31
_cell_angle_beta 80.31
_cell_angle_gamma 60.00
loop_
_atom_site_label
_atom_site_fract_x
_atom_site_fract_y
_atom_site_fract_z
_atom_site_occupancy
Dy1 0.6265 0.6265 0.1206 1
Dy2 0.3735 0.3735 0.8794 1
Br1 0.2322 0.2322 0.3032 1
Br2 0.7678 0.7678 0.6968 1
N1 0.0000 0.0000 0.0000 1

2.
# Cu2GeAu5 | Alexandria | PBE | optimized geometry
# **Calculated formation energy**: 19.4 kJ/mol of formula units
# **Space-group type**: Cmcm
# **Mass density**: 14741 kg/m3
data_Cu2GeAu5
_chemical_formula_sum 'Cu4 Ge2 Au10'
_space_group_name_H-M_alt 'P 1'
_space_group_IT_number 1
_space_group_name_Hall 'P 1'
_cell_length_a 4.2357
_cell_length_b 5.1825
_cell_length_c 13.3205
_cell_angle_alpha 90.00
_cell_angle_beta 90.00
_cell_angle_gamma 114.12
loop_
_atom_site_label
_atom_site_fract_x
_atom_site_fract_y
_atom_site_fract_z
_atom_site_occupancy
Cu1 0.7661 0.5323 0.3490 1
Cu2 0.7661 0.5323 0.1510 1
Cu3 0.2339 0.4677 0.6510 1
Cu4 0.2339 0.4677 0.8490 1
Ge1 0.7617 0.5235 0.7500 1
Ge2 0.2383 0.4765 0.2500 1
Au1 0.9540 0.9081 0.8967 1
Au2 0.9540 0.9081 0.6033 1
Au3 0.3498 0.6996 0.4646 1
Au4 0.3498 0.6996 0.0354 1
Au5 0.5102 0.0204 0.2500 1
Au6 0.4898 0.9796 0.7500 1
Au7 0.6502 0.3004 0.5354 1
Au8 0.6502 0.3004 0.9646 1
Au9 0.0460 0.0919 0.1033 1
Au10 0.0460 0.0919 0.3967 1

3.
# Li3Mg8In3 | Alexandria | PBE | optimized geometry
# **Calculated formation energy**: -99.2 kJ/mol of formula units
# **Space-group type**: P-1
# **Mass density**: 2931 kg/m3
data_Li3Mg8In3
_chemical_formula_sum 'Li3 Mg8 In3'
_space_group_name_H-M_alt 'P 1'
_space_group_IT_number 1
_space_group_name_Hall 'P 1'
_cell_length_a 4.8148
_cell_length_b 7.5114
_cell_length_c 10.7408
_cell_angle_alpha 60.00
_cell_angle_beta 77.05
_cell_angle_gamma 70.98
loop_
_atom_site_label
_atom_site_fract_x
_atom_site_fract_y
_atom_site_fract_z
_atom_site_occupancy
Li1 0.5000 0.9999 0.0001 1
Li2 0.0379 0.6600 0.2624 1
Li3 0.9621 0.3400 0.7376 1
Mg1 0.6317 0.0465 0.6956 1
Mg2 0.3683 0.9535 0.3044 1
Mg3 0.6938 0.3289 0.2897 1
Mg4 0.3062 0.6711 0.7102 1
Mg5 0.8400 0.8074 0.5074 1
Mg6 0.1600 0.1927 0.4926 1
Mg7 0.7419 0.6008 0.9139 1
Mg8 0.2581 0.3992 0.0860 1
In1 0.5000 0.5000 0.5000 1
In2 0.8907 0.1223 0.0939 1
In3 0.1093 0.8777 0.9061 1

4.
# Pm4Sn3N | Alexandria | PBE | optimized geometry
# **Calculated total energy**: -5.748 eV/atom
# **Space-group type**: I-43m
# **Mass density**: 6831 kg/m3
data_Pm4Sn3N
_chemical_formula_sum 'Pm4 Sn3 N1'
_space_group_name_H-M_alt 'P 1'
_space_group_IT_number 1
_space_group_name_Hall 'P 1'
_cell_length_a 6.6946
_cell_length_b 6.6946
_cell_length_c 6.6946
_cell_angle_alpha 109.47
_cell_angle_beta 109.47
_cell_angle_gamma 109.47
loop_
_atom_site_label
_atom_site_fract_x
_atom_site_fract_y
_atom_site_fract_z
_atom_site_occupancy
Pm1 0.6562 0.0000 0.0000 1
Pm2 0.0000 0.0000 0.6562 1
Pm3 0.3438 0.3438 0.3438 1
Pm4 0.0000 0.6562 0.0000 1
Sn1 0.5000 0.5000 0.0000 1
Sn2 0.0000 0.5000 0.5000 1
Sn3 0.5000 0.0000 0.5000 1
N1 0.0000 0.0000 0.0000 1

5.
# Hg2Ir | Alexandria | PBE | optimized geometry
# **Calculated formation energy**: 153.3 kJ/mol of formula units
# **Space-group type**: Cmcm
# **Mass density**: 17394 kg/m3
data_Hg2Ir
_chemical_formula_sum 'Hg4 Ir2'
_space_group_name_H-M_alt 'P 1'
_space_group_IT_number 1
_space_group_name_Hall 'P 1'
_cell_length_a 7.6699
_cell_length_b 7.6699
_cell_length_c 4.7300
_cell_angle_alpha 90.00
_cell_angle_beta 90.00
_cell_angle_gamma 155.97
loop_
_atom_site_label
_atom_site_fract_x
_atom_site_fract_y
_atom_site_fract_z
_atom_site_occupancy
Hg1 0.2281 0.7719 0.2500 1
Hg2 0.4420 0.5580 0.7500 1
Hg3 0.5580 0.4420 0.2500 1
Hg4 0.7719 0.2281 0.7500 1
Ir1 0.8892 0.1108 0.2500 1
Ir2 0.1108 0.8892 0.7500 1

6.
# LiCd2Pb | Alexandria | PBE | optimized geometry
# **Calculated formation energy**: -27.3 kJ/mol of formula units
# **Space-group type**: Immm
# **Mass density**: 7615 kg/m3
data_LiCd2Pb
_chemical_formula_sum 'Li1 Cd2 Pb1'
_space_group_name_H-M_alt 'P 1'
_space_group_IT_number 1
_space_group_name_Hall 'P 1'
_cell_length_a 4.9932
_cell_length_b 4.9932
_cell_length_c 4.9942
_cell_angle_alpha 107.19
_cell_angle_beta 109.62
_cell_angle_gamma 111.62
loop_
_atom_site_label
_atom_site_fract_x
_atom_site_fract_y
_atom_site_fract_z
_atom_site_occupancy
Li1 0.5000 0.7500 0.2500 1
Cd1 0.0003 0.0025 0.0028 1
Cd2 0.9997 0.4975 0.4972 1
Pb1 0.5000 0.2500 0.7500 1

7.
# SrIn2Ni2 | Alexandria | PBE | optimized geometry
# **Calculated formation energy**: -122.6 kJ/mol of formula units
# **Space-group type**: C2/m
# **Mass density**: 6574 kg/m3
data_SrIn2Ni2
_chemical_formula_sum 'Sr1 In2 Ni2'
_space_group_name_H-M_alt 'P 1'
_space_group_IT_number 1
_space_group_name_Hall 'P 1'
_cell_length_a 4.1808
_cell_length_b 5.0376
_cell_length_c 5.7797
_cell_angle_alpha 103.64
_cell_angle_beta 111.20
_cell_angle_gamma 90.00
loop_
_atom_site_label
_atom_site_fract_x
_atom_site_fract_y
_atom_site_fract_z
_atom_site_occupancy
Sr1 0.0000 0.0000 0.0000 1
In1 0.6539 0.5800 0.3079 1
In2 0.3461 0.4200 0.6921 1
Ni1 0.2625 0.8777 0.5250 1
Ni2 0.7375 0.1223 0.4750 1

8.
# SiTc2Ni | Alexandria | PBE | optimized geometry
# **Calculated total energy**: -7.659 eV/atom
# **Space-group type**: I-42d
# **Mass density**: 8253 kg/m3
data_SiTc2Ni
_chemical_formula_sum 'Si2 Tc4 Ni2'
_space_group_name_H-M_alt 'P 1'
_space_group_IT_number 1
_space_group_name_Hall 'P 1'
_cell_length_a 6.6899
_cell_length_b 6.6899
_cell_length_c 5.3705
_cell_angle_alpha 51.48
_cell_angle_beta 51.48
_cell_angle_gamma 90.00
loop_
_atom_site_label
_atom_site_fract_x
_atom_site_fract_y
_atom_site_fract_z
_atom_site_occupancy
Ni1 0.0000 0.0000 0.0000 1
Ni2 0.7500 0.2500 0.5000 1
Si1 0.5000 0.5000 0.0000 1
Si2 0.2500 0.7500 0.5000 1
Tc1 0.6056 0.1250 0.2500 1
Tc2 0.1444 0.6250 0.2500 1
Tc3 0.3750 0.3944 0.7500 1
Tc4 0.8750 0.8556 0.7500 1

9.
# Pt3SeF | Alexandria | PBE | optimized geometry
# **Space-group type**: Pm-3m
# **Mass density**: 13056 kg/m3
# **Excess energy over the best structure of this formula in the dataset**: 269 meV per atom
data_Pt3SeF
_chemical_formula_sum 'Pt3 Se1 F1'
_space_group_name_H-M_alt 'P 1'
_space_group_IT_number 1
_space_group_name_Hall 'P 1'
_cell_length_a 4.4292
_cell_length_b 4.4292
_cell_length_c 4.4292
_cell_angle_alpha 90.00
_cell_angle_beta 90.00
_cell_angle_gamma 90.00
loop_
_atom_site_label
_atom_site_fract_x
_atom_site_fract_y
_atom_site_fract_z
_atom_site_occupancy
Se1 0.5000 0.5000 0.5000 1
Pt1 0.0000 0.5000 0.0000 1
Pt2 0.0000 0.0000 0.5000 1
Pt3 0.5000 0.0000 0.0000 1
F1 0.0000 0.0000 0.0000 1

10.
# CeTm8Sc5 | Alexandria | PBE | optimized geometry
# **Calculated formation energy**: 362.5 kJ/mol of formula units
# **Space-group type**: I-4
# **Mass density**: 7108 kg/m3
data_CeTm8Sc5
_chemical_formula_sum 'Ce1 Tm8 Sc5'
_space_group_name_H-M_alt 'P 1'
_space_group_IT_number 1
_space_group_name_Hall 'P 1'
_cell_length_a 8.0498
_cell_length_b 8.0498
_cell_length_c 8.0498
_cell_angle_alpha 110.71
_cell_angle_beta 110.71
_cell_angle_gamma 107.02
loop_
_atom_site_label
_atom_site_fract_x
_atom_site_fract_y
_atom_site_fract_z
_atom_site_occupancy
Ce1 0.2500 0.7500 0.5000 1
Tm1 0.0148 0.7723 0.1003 1
Tm2 0.2277 0.3279 0.2425 1
Tm3 0.5850 0.8200 0.4112 1
Tm4 0.1800 0.5911 0.7650 1
Tm5 0.8261 0.4150 0.2350 1
Tm6 0.0855 0.9852 0.7575 1
Tm7 0.6721 0.9145 0.8997 1
Tm8 0.4089 0.1739 0.5888 1
Sc1 0.8812 0.2841 0.8134 1
Sc2 0.7159 0.5294 0.5971 1
Sc3 0.4706 0.0678 0.1866 1
Sc4 0.5000 0.5000 0.0000 1
Sc5 0.9322 0.1188 0.4029 1

11.
# NdTc2Ge2B | Alexandria | PBE | optimized geometry
# **Calculated formation energy**: -298.7 kJ/mol of formula units
# **Space-group type**: P4/mmm
# **Mass density**: 8251 kg/m3
data_NdTc2Ge2B
_chemical_formula_sum 'Nd1 Tc2 Ge2 B1'
_space_group_name_H-M_alt 'P 1'
_space_group_IT_number 1
_space_group_name_Hall 'P 1'
_cell_length_a 4.2637
_cell_length_b 4.2637
_cell_length_c 5.4948
_cell_angle_alpha 90.00
_cell_angle_beta 90.00
_cell_angle_gamma 90.00
loop_
_atom_site_label
_atom_site_fract_x
_atom_site_fract_y
_atom_site_fract_z
_atom_site_occupancy
Nd1 0.0000 0.0000 0.5000 1
Tc1 0.5000 0.0000 0.0000 1
Tc2 0.0000 0.5000 0.0000 1
Ge1 0.5000 0.5000 0.7311 1
Ge2 0.5000 0.5000 0.2689 1
B1 0.0000 0.0000 0.0000 1

12.
# LiAl | Alexandria | PBE | optimized geometry
# **Calculated formation energy**: -6.4 kJ/mol of formula units
# **Space-group type**: Cmce
# **Mass density**: 1437 kg/m3
data_LiAl
_chemical_formula_sum 'Li12 Al12'
_space_group_name_H-M_alt 'P 1'
_space_group_IT_number 1
_space_group_name_Hall 'P 1'
_cell_length_a 8.9097
_cell_length_b 8.9097
_cell_length_c 5.9264
_cell_angle_alpha 90.00
_cell_angle_beta 90.00
_cell_angle_gamma 91.64
loop_
_atom_site_label
_atom_site_fract_x
_atom_site_fract_y
_atom_site_fract_z
_atom_site_occupancy
Li1 0.0082 0.5082 0.7500 1
Li2 0.4918 0.9918 0.2500 1
Li3 0.9918 0.4918 0.2500 1
Li4 0.5082 0.0082 0.7500 1
Li5 0.6939 0.3061 0.5000 1
Li6 0.1939 0.8061 0.0000 1
Li7 0.3061 0.6939 0.5000 1
Li8 0.8061 0.1939 0.0000 1
Li9 0.2971 0.2971 0.4095 1
Li10 0.7029 0.7029 0.5905 1
Li11 0.2029 0.2029 0.9095 1
Li12 0.7971 0.7971 0.0905 1
Al1 0.9986 0.2261 0.5264 1
Al2 0.7739 0.0014 0.4736 1
Al3 0.2739 0.5014 0.0264 1
Al4 0.4986 0.7261 0.9736 1
Al5 0.0014 0.7739 0.4736 1
Al6 0.2261 0.9986 0.5264 1
Al7 0.7261 0.4986 0.9736 1
Al8 0.5014 0.2739 0.0264 1
Al9 0.9817 0.9817 0.7882 1
Al10 0.0183 0.0183 0.2118 1
Al11 0.5183 0.5183 0.2882 1
Al12 0.4817 0.4817 0.7118 1